# 1
# Ho8Th2Sc

An optimized crystal structure of Ho8Th2Sc (PBE, Alexandria).

The total energy comes out at -55.379 eV per formula unit. The energy relative to the elements is 0.219 eV/atom. The calculation puts the total magnetic moment at 0.00 μB per atom.

abc: 9.904 9.904 5.590
angles: 91.55 91.55 40.84
Atoms (fractional coordinates):
Ho1 0.047 0.047 0.236
Ho2 0.103 0.640 0.258
Ho3 0.323 0.323 0.766
Ho4 0.360 0.897 0.742
Ho5 0.640 0.103 0.258
Ho6 0.677 0.677 0.234
Ho7 0.897 0.360 0.742
Ho8 0.953 0.953 0.764
Th1 0.220 0.220 0.264
Th2 0.780 0.780 0.736
Sc1 0.500 0.500 0.000

***

# 2
# Ho6ThSc

An optimized crystal structure of Ho6ThSc (PBE, Alexandria).

The total energy comes out at -40.825 eV per formula unit. The energy relative to the elements is 0.049 eV/atom. The calculation puts the total magnetic moment at 0.00 μB per atom.

abc: 4.974 4.974 9.832
angles: 90.00 90.00 90.00
Atoms (fractional coordinates):
Ho1 0.000 0.000 0.000
Ho2 0.000 0.000 0.500
Ho3 0.000 0.500 0.247
Ho4 0.000 0.500 0.753
Ho5 0.500 0.000 0.247
Ho6 0.500 0.000 0.753
Th1 0.500 0.500 0.500
Sc1 0.500 0.500 0.000

***

# 3
# Ho2Th3Sc5

An optimized crystal structure of Ho2Th3Sc5 (PBE, Alexandria).

The total energy comes out at -62.602 eV per formula unit. The energy relative to the elements is 0.047 eV/atom. The calculation puts the total magnetic moment at 0.00 μB per atom.

abc: 8.344 8.427 8.971
angles: 108.28 90.06 109.47
Atoms (fractional coordinates):
Ho1 0.025 0.080 0.204
Ho2 0.473 0.425 0.798
Ho3 0.527 0.575 0.202
Ho4 0.975 0.920 0.796
Th1 0.073 0.227 0.604
Th2 0.180 0.530 0.400
Th3 0.379 0.123 0.999
Th4 0.621 0.877 0.001
Th5 0.820 0.470 0.600
Th6 0.927 0.773 0.396
Sc1 0.122 0.383 0.002
Sc2 0.224 0.678 0.800
Sc3 0.274 0.826 0.198
Sc4 0.330 0.973 0.599
Sc5 0.427 0.271 0.398
Sc6 0.573 0.729 0.602
Sc7 0.670 0.027 0.401
Sc8 0.726 0.174 0.802
Sc9 0.776 0.322 0.200
Sc10 0.878 0.617 0.998

***

# 4
# Ho3Th2Sc3

An optimized crystal structure of Ho3Th2Sc3 (PBE, Alexandria).

The total energy comes out at -47.224 eV per formula unit. The energy relative to the elements is 0.043 eV/atom. The calculation puts the total magnetic moment at 0.00 μB per atom.

abc: 10.381 10.381 10.381
angles: 152.99 152.73 38.75
Atoms (fractional coordinates):
Ho1 0.000 0.000 0.000
Ho2 0.376 0.876 0.500
Ho3 0.624 0.124 0.500
Th1 0.249 0.249 0.000
Th2 0.751 0.751 0.000
Sc1 0.125 0.625 0.500
Sc2 0.500 0.500 0.000
Sc3 0.875 0.375 0.500